No. 1
An optimized crystal structure of Fe2ReTe, computed with GGA-PBE.

Cell lengths 3.217, 4.203, 4.396 Å; angles 90.00, 90.00, 90.00 degrees
Space group Pmmm (No. 47)
Inequivalent atoms, fractional coordinates:
Fe1 0.000 0.000 0.000 (multiplicity 1)
Fe2 0.500 0.000 0.500 (multiplicity 1)
Re1 0.000 0.500 0.500 (multiplicity 1)
Te1 0.500 0.500 0.000 (multiplicity 1)

ΔE_f (raw) = 0.56 eV/atom
Crystal system = orthorhombic
Calculated volume = 14.9 A^3/atom

***

No. 2
An optimized crystal structure of ZrAs4Se, computed with GGA-PBE.

Cell lengths 7.822, 7.822, 7.822 Å; angles 90.00, 90.00, 90.00 degrees
Space group F-43m (No. 216)
Inequivalent atoms, fractional coordinates:
Zr1 0.000 0.000 0.000 (multiplicity 4)
As1 0.124 0.124 0.624 (multiplicity 16)
Se1 0.250 0.250 0.250 (multiplicity 4)

ΔE_f (raw) = 0.12 eV/atom
Crystal system = cubic
Calculated volume = 19.9 A^3/atom

***

No. 3
An optimized crystal structure of Rb3MoN, computed with GGA-PBE.

Cell lengths 5.919, 5.919, 5.919 Å; angles 90.00, 90.00, 90.00 degrees
Space group Pm-3m (No. 221)
Inequivalent atoms, fractional coordinates:
Rb1 0.000 0.000 0.500 (multiplicity 3)
Mo1 0.500 0.500 0.500 (multiplicity 1)
N1 0.000 0.000 0.000 (multiplicity 1)

ΔE_f (raw) = 1.38 eV/atom
Crystal system = cubic
Calculated volume = 41.5 A^3/atom
Polymorph energy (0 for the lowest one) = 0 meV per atom

***

No. 4
An optimized crystal structure of SrCr2Se, computed with GGA-PBE.

Cell lengths 3.711, 3.967, 6.263 Å; angles 90.00, 90.20, 90.00 degrees
Space group Pm (No. 6)
Inequivalent atoms, fractional coordinates:
Sr1 0.000 0.000 0.000 (multiplicity 1)
Cr1 0.004 0.500 0.546 (multiplicity 1)
Cr2 0.503 0.000 0.534 (multiplicity 1)
Se1 0.502 0.500 0.244 (multiplicity 1)

ΔE_f (raw) = -0.14 eV/atom
Crystal system = monoclinic
Calculated volume = 23.1 A^3/atom

***

No. 5
An optimized crystal structure of ScTa2Au, computed with GGA-PBE.

Cell lengths 4.917, 4.917, 3.089 Å; angles 90.00, 90.00, 90.00 degrees
Space group P4/mmm (No. 123)
Inequivalent atoms, fractional coordinates:
Sc1 0.000 0.000 0.000 (multiplicity 1)
Ta1 0.000 0.500 0.500 (multiplicity 2)
Au1 0.500 0.500 0.000 (multiplicity 1)

Energy relative to the elements = 1.03 eV/f.u.
Crystal system = tetragonal
Calculated volume = 18.7 A^3/atom
Polymorph energy (0 for the lowest one) = 381 meV per atom

***

No. 6
An optimized crystal structure of NiPRh2, computed with GGA-PBE.

Cell lengths 2.835, 2.835, 6.382 Å; angles 90.00, 90.00, 90.00 degrees
Space group P4mm (No. 99)
Inequivalent atoms, fractional coordinates:
Ni1 0.000 0.000 0.000 (multiplicity 1)
P1 0.500 0.500 0.191 (multiplicity 1)
Rh1 0.000 0.000 0.421 (multiplicity 1)
Rh2 0.500 0.500 0.730 (multiplicity 1)

Energy relative to the elements = -0.57 eV/f.u.
Crystal system = tetragonal
Calculated volume = 12.8 A^3/atom
Polymorph energy (0 for the lowest one) = 152 meV per atom

***

- Which value of calculated volume does entry 4 give?
  23.1 A^3/atom

***

Repeat the first record exactly.
An optimized crystal structure of Fe2ReTe, computed with GGA-PBE.

Cell lengths 3.217, 4.203, 4.396 Å; angles 90.00, 90.00, 90.00 degrees
Space group Pmmm (No. 47)
Inequivalent atoms, fractional coordinates:
Fe1 0.000 0.000 0.000 (multiplicity 1)
Fe2 0.500 0.000 0.500 (multiplicity 1)
Re1 0.000 0.500 0.500 (multiplicity 1)
Te1 0.500 0.500 0.000 (multiplicity 1)

ΔE_f (raw) = 0.56 eV/atom
Crystal system = orthorhombic
Calculated volume = 14.9 A^3/atom

***

- calculated volume of number 4 (SrCr2Se)?
  23.1 A^3/atom